(1)
A geometry-optimized SrAu2Br structure, computed with PBE.

Computed properties:
energy relative to the elements, uncorrected = -0.80 eV per atom
mass density = 8.017 Mg/m³
energy relative to the lowest polymorph listed for this composition = 104 meV per atom

Geometry as CIF:
```
data_SrAu2Br
_cell_length_a 3.903
_cell_length_b 3.903
_cell_length_c 7.633
_cell_angle_alpha 90.00
_cell_angle_beta 90.00
_cell_angle_gamma 90.00
_space_group_name_H-M_alt 'P 4 m m'
_space_group_IT_number 99
_space_group_name_Hall 'P 4 -2'
loop_
_atom_site_label
_atom_site_fract_x
_atom_site_fract_y
_atom_site_fract_z
Sr1 0.000 0.000 0.000
Au1 0.000 0.000 0.373
Au2 0.500 0.500 0.321
Br1 0.500 0.500 0.811
```

***

(2)
A geometry-optimized Sr2AuBr structure, computed with PBE.

Computed properties:
energy relative to the elements, uncorrected = -0.93 eV per atom
mass density = 5.951 Mg/m³
energy relative to the lowest polymorph listed for this composition = 236 meV per atom

Geometry as CIF:
```
data_Sr2AuBr
_cell_length_a 7.961
_cell_length_b 7.961
_cell_length_c 7.961
_cell_angle_alpha 90.00
_cell_angle_beta 90.00
_cell_angle_gamma 90.00
_space_group_name_H-M_alt 'F m -3 m'
_space_group_IT_number 225
_space_group_name_Hall '-F 4 2 3'
loop_
_atom_site_label
_atom_site_fract_x
_atom_site_fract_y
_atom_site_fract_z
Sr1 0.250 0.250 0.250
Au1 0.000 0.000 0.000
Br1 0.000 0.000 0.500
```

***

(3)
A geometry-optimized SrAu2Br6 structure, computed with PBE.

Computed properties:
energy relative to the elements, uncorrected = -0.73 eV per atom
mass density = 4.855 Mg/m³

Geometry as CIF:
```
data_SrAu2Br6
_cell_length_a 12.336
_cell_length_b 14.448
_cell_length_c 8.169
_cell_angle_alpha 90.00
_cell_angle_beta 115.44
_cell_angle_gamma 90.00
_space_group_name_H-M_alt 'C 1 2/c 1'
_space_group_IT_number 15
_space_group_name_Hall '-C 2yc'
loop_
_atom_site_label
_atom_site_fract_x
_atom_site_fract_y
_atom_site_fract_z
Sr1 0.000 0.122 0.250
Au1 0.138 0.424 0.149
Br1 0.092 0.405 0.582
Br2 0.135 0.035 0.635
Br3 0.178 0.253 0.198
```

***

(4)
A geometry-optimized Sr2Au2Br structure, computed with PBE.

Computed properties:
energy relative to the elements, uncorrected = -1.04 eV per atom
mass density = 6.944 Mg/m³
energy relative to the lowest polymorph listed for this composition = 0 meV per atom

Geometry as CIF:
```
data_Sr2Au2Br
_cell_length_a 8.623
_cell_length_b 8.623
_cell_length_c 4.176
_cell_angle_alpha 90.00
_cell_angle_beta 90.00
_cell_angle_gamma 90.00
_space_group_name_H-M_alt 'P 4/m b m'
_space_group_IT_number 127
_space_group_name_Hall '-P 4 2ab'
loop_
_atom_site_label
_atom_site_fract_x
_atom_site_fract_y
_atom_site_fract_z
Sr1 0.181 0.319 0.000
Au1 0.116 0.616 0.500
Br1 0.000 0.000 0.000
```

***

(5)
A geometry-optimized Sr2AuBr structure, computed with PBE.

Computed properties:
energy relative to the elements, uncorrected = -0.94 eV per atom
mass density = 5.844 Mg/m³
energy relative to the lowest polymorph listed for this composition = 231 meV per atom

Geometry as CIF:
```
data_Sr2AuBr
_cell_length_a 5.062
_cell_length_b 6.185
_cell_length_c 8.207
_cell_angle_alpha 90.00
_cell_angle_beta 90.00
_cell_angle_gamma 90.00
_space_group_name_H-M_alt 'I m m m'
_space_group_IT_number 71
_space_group_name_Hall '-I 2 2'
loop_
_atom_site_label
_atom_site_fract_x
_atom_site_fract_y
_atom_site_fract_z
Sr1 0.000 0.000 0.248
Au1 0.000 0.500 0.000
Br1 0.000 0.500 0.500
```

***

(6)
A geometry-optimized SrTcAu2Br structure, computed with PBE.

Computed properties:
energy relative to the elements, uncorrected = 0.84 eV per atom
mass density = 5.648 Mg/m³

Geometry as CIF:
```
data_SrTcAu2Br
_cell_length_a 5.842
_cell_length_b 5.842
_cell_length_c 5.681
_cell_angle_alpha 90.00
_cell_angle_beta 90.00
_cell_angle_gamma 90.00
_space_group_name_H-M_alt 'P 4/m m m'
_space_group_IT_number 123
_space_group_name_Hall '-P 4 2'
loop_
_atom_site_label
_atom_site_fract_x
_atom_site_fract_y
_atom_site_fract_z
Sr1 0.000 0.000 0.000
Tc1 0.500 0.500 0.500
Au1 0.000 0.500 0.000
Br1 0.000 0.000 0.500
```

***

(7)
A geometry-optimized SrY2AuBr structure, computed with PBE.

Computed properties:
energy relative to the elements, uncorrected = -0.05 eV per atom
mass density = 5.135 Mg/m³

Geometry as CIF:
```
data_SrY2AuBr
_cell_length_a 5.347
_cell_length_b 5.347
_cell_length_c 6.134
_cell_angle_alpha 90.00
_cell_angle_beta 90.00
_cell_angle_gamma 90.00
_space_group_name_H-M_alt 'P 4/m m m'
_space_group_IT_number 123
_space_group_name_Hall '-P 4 2'
loop_
_atom_site_label
_atom_site_fract_x
_atom_site_fract_y
_atom_site_fract_z
Sr1 0.000 0.000 0.000
Y1 0.000 0.500 0.500
Au1 0.500 0.500 0.000
Br1 0.500 0.500 0.500
```

***

(8)
A geometry-optimized TaAuBr2 structure, computed with PBE.

Computed properties:
energy relative to the elements, uncorrected = 0.14 eV per atom
mass density = 7.686 Mg/m³
energy relative to the lowest polymorph listed for this composition = 382 meV per atom

Geometry as CIF:
```
data_TaAuBr2
_cell_length_a 9.324
_cell_length_b 9.324
_cell_length_c 5.345
_cell_angle_alpha 90.00
_cell_angle_beta 90.00
_cell_angle_gamma 90.00
_space_group_name_H-M_alt 'I -4 2 d'
_space_group_IT_number 122
_space_group_name_Hall 'I -4 2bw'
loop_
_atom_site_label
_atom_site_fract_x
_atom_site_fract_y
_atom_site_fract_z
Ta1 0.000 0.000 0.000
Au1 0.000 0.000 0.500
Br1 0.108 0.750 0.125
```